Arrangement P

PaBi (PBE-GGA, relaxed); size of the total moment = 0.70 μB/f.u.; Fermi-level density of states = 9.8 states/eV/cell
1.0
4.354 0.000 0.000
0.000 4.351 0.000
-0.007 0.000 6.491
Pa Bi
2 2
Cartesian
1.085 1.088 1.184
3.262 3.263 5.308
1.085 1.088 4.482
3.262 3.263 2.010

=====

Arrangement Q

PaBi (PBE-GGA, relaxed); size of the total moment = 1.16 μB/f.u.; Fermi-level density of states = 4.7 states/eV/cell
1.0
3.826 0.000 0.000
0.000 3.826 0.000
0.000 0.000 3.826
Pa Bi
1 1
Cartesian
0.000 0.000 0.000
1.913 1.913 1.913

=====

Most stable structure, least stable structure: arrangement Q, arrangement P.